Entry 1:
Below is crystalline GdErMg at its relaxed geometry, with properties calculated at the PBE-GGA level.

Output
Size of the total moment   0.0 μB/cell
Energy above the most stable polymorph in this dataset   0.008 eV per atom
Crystal system   orthorhombic

Cell lengths 8.8342, 8.8342, 5.4475 Å; angles 90.00, 90.00, 156.13 degrees
Closest atoms and distances in Å follow each position.
Positions (direct):
Gd (0.2255, 0.7745, 0.7500)  2 Mg 3.35, 6 Gd 3.39-3.65, 4 Er 3.54-3.61
Gd (0.7745, 0.2255, 0.2500)  2 Mg 3.35, 6 Gd 3.39-3.65, 4 Er 3.54-3.61
Er (0.0946, 0.9054, 0.2500)  6 Mg 3.28-3.33, 4 Gd 3.54-3.61, 2 Er 3.65
Er (0.9054, 0.0946, 0.7500)  6 Mg 3.28-3.33, 4 Gd 3.54-3.61, 2 Er 3.65
Mg (0.4371, 0.5629, 0.2500)  6 Er 3.28-3.33, 2 Gd 3.35, 4 Mg 3.48-3.65
Mg (0.5629, 0.4371, 0.7500)  6 Er 3.28-3.33, 2 Gd 3.35, 4 Mg 3.48-3.65

Entry 2:
Below is crystalline HgGe at its relaxed geometry, with properties calculated at the PBE-GGA level.

Output
Energy above the most stable polymorph in this dataset   0.044 eV per atom
Crystal system   cubic

Cell lengths 4.0444, 4.0444, 4.0444 Å; angles 60.00, 60.00, 60.00 degrees
Closest atoms and distances in Å follow each position.
Positions (direct):
Hg (0.0000, 0.0000, 0.0000)  6 Ge 2.86
Ge (0.5000, 0.5000, 0.5000)  6 Hg 2.86

Entry 3:
Below is crystalline Na2Zr2Os at its relaxed geometry, with properties calculated at the PBE-GGA level.

Output
Size of the total moment   0.2 μB/cell
Crystal system   orthorhombic

Cell lengths 8.9767, 8.4443, 6.6541 Å; angles 71.85, 63.37, 44.78 degrees
Closest atoms and distances in Å follow each position.
Positions (direct):
Na (0.0440, 0.0440, 0.7060)  4 Zr 3.45, 2 Os 3.53, 2 Na 3.57
Na (0.2940, 0.2940, 0.9560)  4 Zr 3.45, 2 Os 3.53, 2 Na 3.57
Na (0.7060, 0.7060, 0.0440)  4 Zr 3.45, 2 Os 3.53, 2 Na 3.57
Na (0.9560, 0.9560, 0.2940)  4 Zr 3.45, 2 Os 3.53, 2 Na 3.57
Zr (0.0000, 0.5000, 0.5000)  2 Os 2.48
Zr (0.5000, 0.0000, 0.5000)  2 Os 2.48
Zr (0.5000, 0.5000, 0.0000)  2 Os 2.48
Zr (0.5000, 0.5000, 0.5000)  2 Os 2.48
Os (0.3750, 0.3750, 0.3750)  4 Zr 2.48
Os (0.6250, 0.6250, 0.6250)  4 Zr 2.48

Entry 4:
Below is crystalline Sm5Tc2O12 at its relaxed geometry, with properties calculated at the PBE-GGA level.

Output
Size of the total moment   1.0 μB/cell
Crystal system   monoclinic

Cell lengths 6.9371, 6.9371, 7.6648 Å; angles 106.27, 106.27, 48.51 degrees
Closest atoms and distances in Å follow each position.
Positions (direct):
Sm (0.0000, 0.0000, 0.0000)  6 O 2.29-2.35
Sm (0.3065, 0.3065, 0.1441)  7 O 2.32-2.48
Sm (0.3154, 0.3154, 0.6724)  7 O 2.33-2.50
Sm (0.6846, 0.6846, 0.3276)  7 O 2.33-2.50
Sm (0.6935, 0.6935, 0.8559)  7 O 2.32-2.48
Tc (0.2137, 0.7863, 0.5000)  6 O 1.96-2.10
Tc (0.7863, 0.2137, 0.5000)  6 O 1.96-2.10
O (0.9996, 0.9996, 0.2986)  2 Tc 1.97
O (0.0004, 0.0004, 0.7014)  2 Tc 1.97
O (0.0864, 0.5902, 0.4197)  1 Tc 1.96
O (0.0971, 0.5935, 0.9242)  4 Sm 2.32-2.36
O (0.4065, 0.9029, 0.0758)  4 Sm 2.32-2.36
O (0.4098, 0.9136, 0.5803)  1 Tc 1.96
O (0.4985, 0.4985, 0.3274)  2 Tc 2.10
O (0.5015, 0.5015, 0.6726)  2 Tc 2.10
O (0.5902, 0.0864, 0.4197)  1 Tc 1.96
O (0.5935, 0.0971, 0.9242)  4 Sm 2.32-2.36
O (0.9029, 0.4065, 0.0758)  4 Sm 2.32-2.36
O (0.9136, 0.4098, 0.5803)  1 Tc 1.96

Entry 5:
Below is crystalline Na2SiHgTe4 at its relaxed geometry, with properties calculated at the PBE-GGA level.

Output
Crystal system   tetragonal

Cell lengths 7.5621, 7.5621, 7.5621 Å; angles 123.70, 123.70, 83.70 degrees
Closest atoms and distances in Å follow each position.
Positions (direct):
Na (0.0000, 0.0000, 0.0000)  4 Te 3.19
Na (0.7500, 0.2500, 0.5000)  4 Te 3.04
Si (0.5000, 0.5000, 0.0000)  4 Te 2.53
Hg (0.2500, 0.7500, 0.5000)  4 Te 2.87
Te (0.1793, 0.6056, 0.0204)  1 Si 2.53
Te (0.3944, 0.4148, 0.5737)  1 Si 2.53
Te (0.5852, 0.1588, 0.9796)  1 Si 2.53
Te (0.8412, 0.8207, 0.4263)  1 Si 2.53

Entry 6:
Below is crystalline ZrSi at its relaxed geometry, with properties calculated at the PBE-GGA level.

Output
Size of the total moment   0.0 μB/cell
Crystal system   orthorhombic

Cell lengths 6.4053, 13.6826, 5.0640 Å; angles 90.00, 90.00, 90.00 degrees
Closest atoms and distances in Å follow each position.
Positions (direct):
Zr (0.1093, 0.1611, 0.2500)  3 Si 2.64-2.81
Zr (0.1093, 0.3389, 0.7500)  3 Si 2.64-2.81
Zr (0.3524, 0.6490, 0.2500)  5 Si 2.84-2.90, 3 Zr 2.96-3.04
Zr (0.3524, 0.8510, 0.7500)  5 Si 2.84-2.90, 3 Zr 2.96-3.04
Zr (0.3863, 0.1467, 0.7500)  2 Si 2.68-2.69
Zr (0.3863, 0.3533, 0.2500)  2 Si 2.68-2.69
Zr (0.6137, 0.6467, 0.7500)  2 Si 2.68-2.69
Zr (0.6137, 0.8533, 0.2500)  2 Si 2.68-2.69
Zr (0.6476, 0.1490, 0.2500)  5 Si 2.84-2.90, 3 Zr 2.96-3.04
Zr (0.6476, 0.3510, 0.7500)  5 Si 2.84-2.90, 3 Zr 2.96-3.04
Zr (0.8907, 0.6611, 0.2500)  3 Si 2.64-2.81
Zr (0.8907, 0.8389, 0.7500)  3 Si 2.64-2.81
Si (0.0736, 0.0157, 0.7500)  4 Si 2.49-2.74, 2 Zr 2.69
Si (0.0736, 0.4843, 0.2500)  4 Si 2.49-2.74, 2 Zr 2.69
Si (0.1369, 0.6691, 0.7500)  2 Si 2.49-2.65
Si (0.1369, 0.8309, 0.2500)  2 Si 2.49-2.65
Si (0.3374, 0.0006, 0.2500)  3 Zr 2.64-2.84, 2 Si 2.64-2.65
Si (0.3374, 0.4994, 0.7500)  3 Zr 2.64-2.84, 2 Si 2.64-2.65
Si (0.6626, 0.5006, 0.2500)  3 Zr 2.64-2.84, 2 Si 2.64-2.65
Si (0.6626, 0.9994, 0.7500)  3 Zr 2.64-2.84, 2 Si 2.64-2.65
Si (0.8631, 0.1691, 0.7500)  2 Si 2.49-2.65
Si (0.8631, 0.3309, 0.2500)  2 Si 2.49-2.65
Si (0.9264, 0.5157, 0.7500)  4 Si 2.49-2.74, 2 Zr 2.69
Si (0.9264, 0.9843, 0.2500)  4 Si 2.49-2.74, 2 Zr 2.69

| no. | V (Å³/atom) | electronic total energy (eV per cell) |
| --- | --- | --- |
| 1 | 28.7 | -21.84 |
| 2 | 23.4 | -4.29 |
| 3 | 31.8 | -53.88 |
| 4 | 13.8 | -157.26 |
| 5 | 35.8 | -24.31 |
| 6 | 18.5 | -174.31 |